InCuCl PBE relaxed; offset from the most stable computed form = 115 meV per atom; D(E_F) = 1.4 states/eV/cell; formation energy (no corrections) = -0.10 eV/atom; calculated total energy = -18.0 eV per cell; M_tot = 0.000 μB/cell
1.0
3.302 0.000 0.000
0.000 3.302 0.000
0.000 0.000 11.368
In Cu Cl
2 2 2
Cartesian
0.000 0.000 0.000
1.651 1.651 5.684
0.000 0.000 7.303
1.651 1.651 1.620
0.000 0.000 3.042
1.651 1.651 8.726

---

CsErSiS4 PBE relaxed; offset from the most stable computed form = 0 meV per atom; D(E_F) = 0.0 states/eV/cell; formation energy (no corrections) = -1.44 eV/atom; calculated total energy = -149.7 eV per cell; M_tot = 0.000 μB/cell
1.0
6.388 0.000 0.000
0.000 6.715 0.000
0.000 0.000 17.964
Cs Er Si S
4 4 4 16
Cartesian
0.083 0.040 8.402
3.111 6.675 17.384
3.278 3.318 9.562
6.305 3.397 0.580
1.338 0.154 13.087
1.856 6.562 4.105
4.532 3.204 4.877
5.050 3.511 13.859
1.336 3.475 5.923
1.858 3.241 14.905
4.530 6.598 12.041
5.052 0.117 3.059
0.349 0.079 1.781
0.421 1.700 15.283
0.652 3.899 3.952
0.663 5.016 15.096
2.531 1.699 6.114
2.542 2.816 12.934
2.773 5.015 6.301
2.845 6.637 10.763
3.544 3.279 16.182
3.615 1.658 2.681
3.846 6.174 14.012
3.857 5.057 2.868
5.725 1.658 11.850
5.736 0.542 5.030
5.967 5.057 11.663
6.039 3.436 7.200

---

SrFe3 PBE relaxed; D(E_F) = 16.4 states/eV/cell; energy of formation = 16.1 kcal/mol of atoms; calculated total energy = -97.1 eV per cell; M_tot = 32.369 μB/cell
1.0
6.462 0.000 0.000
-3.231 5.596 0.000
0.000 0.000 8.374
Sr Fe
4 12
Cartesian
0.000 0.000 0.000
0.000 0.000 4.187
0.000 3.731 2.093
3.231 1.865 6.280
-1.615 2.798 0.000
-1.615 2.798 4.187
0.000 2.401 6.280
-1.151 4.395 6.280
2.080 1.201 2.093
3.231 0.000 0.000
3.231 0.000 4.187
1.615 2.798 0.000
1.615 2.798 4.187
1.151 4.395 6.280
4.382 1.201 2.093
3.231 3.195 2.093

---

BeZn3Cu PBE relaxed; offset from the most stable computed form = 289 meV per atom; D(E_F) = 1.6 states/eV/cell; energy of formation = 16.4 kcal/mol of atoms; calculated total energy = -8.1 eV per cell; M_tot = 0.000 μB/cell
1.0
4.537 0.000 0.000
0.000 4.537 0.000
0.000 0.000 4.537
Be Zn Cu
1 3 1
Cartesian
0.000 0.000 0.000
0.000 2.268 2.268
2.268 0.000 2.268
2.268 2.268 0.000
2.268 2.268 2.268

---

Sm2DyYHo5 PBE relaxed; D(E_F) = 23.1 states/eV/cell; energy of formation = 6.4 kcal/mol of atoms; calculated total energy = -81.8 eV per cell; M_tot = 0.000 μB/cell
1.0
-4.311 4.311 7.764
4.311 -4.311 7.764
4.311 4.311 -7.764
Sm Dy Y Ho
4 2 2 10
Cartesian
5.322 1.011 0.000
1.011 3.299 0.000
3.299 1.011 7.764
-1.011 3.299 7.764
4.311 0.000 3.882
0.000 4.311 3.882
0.000 0.000 3.882
0.000 0.000 11.646
0.000 0.000 0.000
2.498 1.812 -2.154
2.498 -1.812 5.610
2.498 1.812 2.154
2.498 -1.812 9.918
0.000 0.000 7.764
1.812 6.123 -2.154
1.812 2.498 5.610
1.812 6.123 2.154
1.812 2.498 9.918

---

Sc2FeW PBE relaxed; offset from the most stable computed form = 283 meV per atom; D(E_F) = 4.9 states/eV/cell; energy of formation = 7.2 kcal/mol of atoms; calculated total energy = -32.8 eV per cell; M_tot = 0.780 μB/cell
1.0
2.870 0.000 0.000
0.000 4.395 0.000
-1.329 0.000 5.398
Sc Fe W
2 1 1
Cartesian
0.195 0.000 1.390
1.346 0.000 4.008
-0.664 2.197 2.699
1.435 2.197 0.000

---

TlZn2Hg2 PBE relaxed; offset from the most stable computed form = 6 meV per atom; D(E_F) = 3.6 states/eV/cell; energy of formation = 2.2 kcal/mol of atoms; calculated total energy = -10.1 eV per cell; M_tot = 0.000 μB/cell
1.0
4.489 0.000 0.000
0.000 4.489 0.000
0.000 0.000 11.931
Tl Zn Hg
2 4 4
Cartesian
0.000 0.000 0.000
2.244 2.244 5.965
0.000 0.000 4.716
0.000 0.000 7.215
2.244 2.244 1.250
2.244 2.244 10.681
0.000 2.244 2.983
0.000 2.244 8.948
2.244 0.000 2.983
2.244 0.000 8.948

---

SrMg2 PBE relaxed; D(E_F) = 8.2 states/eV/cell; energy of formation = 1.3 kcal/mol of atoms; calculated total energy = -18.8 eV per cell; M_tot = 0.000 μB/cell
1.0
12.427 0.000 0.000
0.000 3.910 0.000
-0.709 0.000 8.349
Sr Mg
4 8
Cartesian
0.000 0.000 0.000
2.853 1.955 2.614
6.213 1.955 0.000
9.067 0.000 2.614
0.642 0.000 4.999
2.096 1.955 7.046
4.108 0.000 5.516
5.700 0.000 2.926
6.855 1.955 4.999
8.310 0.000 7.046
10.322 1.955 5.516
11.913 1.955 2.926